#P
A plane-wave DFT calculation with GGA-PBE was carried out for a relaxed KRuIN2 crystal.

The space group is P4/mmm (No. 123) and the conventional cell measures 4.072, 4.072 and 5.757 Å, with angles of 90.00, 90.00 and 90.00 degrees. The distinct sites, in fractional coordinates, are K at (0.000, 0.000, 0.000), Ru at (0.500, 0.500, 0.500), I at (0.500, 0.500, 0.000) and N at (0.000, 0.500, 0.500).

#Q
A plane-wave DFT calculation with GGA-PBE was carried out for a relaxed KRuIN2 crystal.

The space group is P4/mmm (No. 123) and the conventional cell measures 4.852, 4.852 and 6.672 Å, with angles of 90.00, 90.00 and 90.00 degrees. The distinct sites, in fractional coordinates, are K at (0.000, 0.000, 0.000), Ru at (0.500, 0.500, 0.500), I at (0.000, 0.000, 0.500) and N at (0.000, 0.500, 0.000).

Most stable one: #P, least stable one: #Q.

#P
A plane-wave DFT calculation with GGA-PBE was carried out for a relaxed KSIN2 crystal.

The space group is P4/mmm (No. 123) and the conventional cell measures 5.025, 5.025 and 6.180 Å, with angles of 90.00, 90.00 and 90.00 degrees. The distinct sites, in fractional coordinates, are K at (0.000, 0.000, 0.000), S at (0.000, 0.000, 0.500), I at (0.500, 0.500, 0.500) and N at (0.000, 0.500, 0.000).

#Q
A plane-wave DFT calculation with GGA-PBE was carried out for a relaxed KSIN2 crystal.

The space group is P4/mmm (No. 123) and the conventional cell measures 4.493, 4.493 and 5.587 Å, with angles of 90.00, 90.00 and 90.00 degrees. The distinct sites, in fractional coordinates, are K at (0.000, 0.000, 0.000), S at (0.500, 0.500, 0.500), I at (0.500, 0.500, 0.000) and N at (0.000, 0.500, 0.500).

Most stable one: #Q, least stable one: #P.

#P
A plane-wave DFT calculation with GGA-PBE was carried out for a relaxed KSI2N crystal.

The space group is P4/mmm (No. 123) and the conventional cell measures 6.665, 6.665 and 3.423 Å, with angles of 90.00, 90.00 and 90.00 degrees. The distinct sites, in fractional coordinates, are K at (0.000, 0.000, 0.000), S at (0.500, 0.500, 0.500), I at (0.000, 0.500, 0.500) and N at (0.500, 0.500, 0.000).

#Q
A plane-wave DFT calculation with GGA-PBE was carried out for a relaxed KSI2N crystal.

The space group is P4/mmm (No. 123) and the conventional cell measures 6.325, 6.325 and 4.603 Å, with angles of 90.00, 90.00 and 90.00 degrees. The distinct sites, in fractional coordinates, are K at (0.000, 0.000, 0.000), S at (0.500, 0.500, 0.500), I at (0.000, 0.500, 0.000) and N at (0.000, 0.000, 0.500).

Most stable one: #P, least stable one: #Q.

#P
A plane-wave DFT calculation with GGA-PBE was carried out for a relaxed KSbI2N crystal.

The space group is P4/mmm (No. 123) and the conventional cell measures 6.526, 6.526 and 4.076 Å, with angles of 90.00, 90.00 and 90.00 degrees. The distinct sites, in fractional coordinates, are K at (0.000, 0.000, 0.000), Sb at (0.500, 0.500, 0.000), I at (0.000, 0.500, 0.500) and N at (0.500, 0.500, 0.500).

#Q
A plane-wave DFT calculation with GGA-PBE was carried out for a relaxed KSbI2N crystal.

The space group is P4/mmm (No. 123) and the conventional cell measures 6.370, 6.370 and 4.897 Å, with angles of 90.00, 90.00 and 90.00 degrees. The distinct sites, in fractional coordinates, are K at (0.000, 0.000, 0.000), Sb at (0.500, 0.500, 0.500), I at (0.000, 0.500, 0.000) and N at (0.000, 0.000, 0.500).

#R
A plane-wave DFT calculation with GGA-PBE was carried out for a relaxed KSbI2N crystal.

The space group is P4/mmm (No. 123) and the conventional cell measures 6.406, 6.406 and 4.045 Å, with angles of 90.00, 90.00 and 90.00 degrees. The distinct sites, in fractional coordinates, are K at (0.000, 0.000, 0.000), Sb at (0.500, 0.500, 0.500), I at (0.000, 0.500, 0.500) and N at (0.500, 0.500, 0.000).

Most stable one: #R, least stable one: #Q.

#P
A plane-wave DFT calculation with GGA-PBE was carried out for a relaxed KSbIN2 crystal.

The space group is P4/mmm (No. 123) and the conventional cell measures 5.091, 5.091 and 6.872 Å, with angles of 90.00, 90.00 and 90.00 degrees. The distinct sites, in fractional coordinates, are K at (0.000, 0.000, 0.000), Sb at (0.500, 0.500, 0.500), I at (0.000, 0.000, 0.500) and N at (0.000, 0.500, 0.000).

#Q
A plane-wave DFT calculation with GGA-PBE was carried out for a relaxed KSbIN2 crystal.

The space group is P4/mmm (No. 123) and the conventional cell measures 4.338, 4.338 and 6.587 Å, with angles of 90.00, 90.00 and 90.00 degrees. The distinct sites, in fractional coordinates, are K at (0.000, 0.000, 0.000), Sb at (0.500, 0.500, 0.500), I at (0.500, 0.500, 0.000) and N at (0.000, 0.500, 0.500).

Most stable one: #Q, least stable one: #P.

#P
A plane-wave DFT calculation with GGA-PBE was carried out for a relaxed KScI2N crystal.

The space group is P4/mmm (No. 123) and the conventional cell measures 6.308, 6.308 and 4.868 Å, with angles of 90.00, 90.00 and 90.00 degrees. The distinct sites, in fractional coordinates, are K at (0.000, 0.000, 0.000), Sc at (0.500, 0.500, 0.500), I at (0.000, 0.500, 0.000) and N at (0.000, 0.000, 0.500).

#Q
A plane-wave DFT calculation with GGA-PBE was carried out for a relaxed KScI2N crystal.

The space group is P4/mmm (No. 123) and the conventional cell measures 6.107, 6.107 and 4.091 Å, with angles of 90.00, 90.00 and 90.00 degrees. The distinct sites, in fractional coordinates, are K at (0.000, 0.000, 0.000), Sc at (0.500, 0.500, 0.500), I at (0.000, 0.500, 0.500) and N at (0.500, 0.500, 0.000).

Most stable one: #Q, least stable one: #P.